A geometry-optimized MoI2F structure, computed with PBE+U.

Cell lengths 7.5926, 7.5926, 8.0072 Å; angles 90.00, 90.00, 90.00 degrees
Element x y z (fractional)
Mo1 0.0000 0.0000 0.0000
Mo2 0.0000 0.5000 0.2500
Mo3 0.5000 0.0000 0.7500
Mo4 0.5000 0.5000 0.5000
I1 0.2397 0.7500 0.1250
I2 0.2500 0.2397 0.8750
I3 0.2500 0.2603 0.3750
I4 0.2603 0.7500 0.6250
I5 0.7397 0.2500 0.6250
I6 0.7500 0.7397 0.3750
I7 0.7500 0.7603 0.8750
I8 0.7603 0.2500 0.1250
F1 0.0000 0.0000 0.5000
F2 0.0000 0.5000 0.7500
F3 0.5000 0.0000 0.2500
F4 0.5000 0.5000 0.0000

Computed properties:
- Polymorph energy (0 for the lowest one): 0.043 eV per atom